P.
SiNi4 | PBE | optimized geometry

a = 4.2726 Å, b = 4.2726 Å, c = 4.2726 Å
α = 100.17°, β = 100.17°, γ = 130.31°
With the nearest neighbours (Å) after each atom.
Atoms (fractional coordinates):
1 Si 0.0000 0.0000 0.0000  12 Ni 2.43-2.50
2 Ni 0.1994 0.3965 0.5959  3 Si 2.43-2.50, 9 Ni 2.46-2.50
3 Ni 0.3965 0.8006 0.1971  3 Si 2.43-2.50, 9 Ni 2.46-2.50
4 Ni 0.6035 0.1994 0.8029  3 Si 2.43-2.50, 9 Ni 2.46-2.50
5 Ni 0.8006 0.6035 0.4041  3 Si 2.43-2.50, 9 Ni 2.46-2.50

Calculated values
- total magnetization (μB/cell) = 0.0
- mass density (g/cm3) = 8.087
- SG = No. 87



Q.
SiNi4 | PBE | optimized geometry

a = 4.1376 Å, b = 4.1376 Å, c = 4.1376 Å
α = 90.00°, β = 90.00°, γ = 90.00°
With the nearest neighbours (Å) after each atom.
Atoms (fractional coordinates):
1 Si 0.0000 0.0000 0.0000  6 Ni 2.07
2 Ni 0.0000 0.0000 0.5000  2 Si 2.07
3 Ni 0.0000 0.5000 0.0000  2 Si 2.07
4 Ni 0.5000 0.0000 0.0000  2 Si 2.07
5 Ni 0.5000 0.5000 0.5000  12 Ni 2.93

Calculated values
- total magnetization (μB/cell) = 0.8
- mass density (g/cm3) = 6.162
- SG = No. 221



Computed stability ranking, most favorable first: P, Q



P.
SiNi4 | PBE | optimized geometry

a = 6.7559 Å, b = 6.7559 Å, c = 6.7559 Å
α = 147.74°, β = 138.04°, γ = 53.90°
With the nearest neighbours (Å) after each atom.
Atoms (fractional coordinates):
1 Si 0.3588 0.1088 0.2500  13 Ni 2.42-2.66
2 Si 0.6412 0.8912 0.7500  13 Ni 2.42-2.66
3 Ni 0.0000 0.5000 0.5000  8 Ni 2.35-2.53, 4 Si 2.59
4 Ni 0.1519 0.9019 0.2500  3 Si 2.42-2.49, 8 Ni 2.52-2.53
5 Ni 0.1944 0.6950 0.4994  7 Ni 2.30-2.52, 2 Si 2.46
6 Ni 0.3045 0.3050 0.9994  7 Ni 2.30-2.52, 2 Si 2.46
7 Ni 0.5000 0.5000 0.0000  8 Ni 2.35-2.53, 4 Si 2.59
8 Ni 0.6955 0.6950 0.0006  7 Ni 2.30-2.52, 2 Si 2.46
9 Ni 0.8056 0.3050 0.5006  7 Ni 2.30-2.52, 2 Si 2.46
10 Ni 0.8481 0.0981 0.7500  3 Si 2.42-2.49, 8 Ni 2.52-2.53

Calculated values
- total magnetization (μB/cell) = 0.0
- mass density (g/cm3) = 7.981
- SG = No. 74



Q.
SiNi4 | PBE | optimized geometry

a = 4.4388 Å, b = 4.4388 Å, c = 4.4388 Å
α = 109.47°, β = 109.47°, γ = 109.47°
With the nearest neighbours (Å) after each atom.
Atoms (fractional coordinates):
1 Si 0.0000 0.0000 0.0000  8 Ni 2.22
2 Ni 0.0000 0.0000 0.5000  2 Si 2.22
3 Ni 0.0000 0.5000 0.0000  2 Si 2.22
4 Ni 0.5000 0.0000 0.0000  2 Si 2.22
5 Ni 0.5000 0.5000 0.5000  2 Si 2.22

Calculated values
- total magnetization (μB/cell) = 0.0
- mass density (g/cm3) = 6.483
- SG = No. 229



R.
SiNi4 | PBE | optimized geometry

a = 3.9970 Å, b = 3.9970 Å, c = 4.8035 Å
α = 118.48°, β = 118.48°, γ = 57.63°
With the nearest neighbours (Å) after each atom.
Atoms (fractional coordinates):
1 Si 0.0000 0.0000 0.0000  8 Ni 2.31-2.41
2 Ni 0.1889 0.1889 0.5718  1 Si 2.31, 7 Ni 2.34-2.49
3 Ni 0.3957 0.3957 0.1822  3 Si 2.39-2.41, 7 Ni 2.46-2.66
4 Ni 0.6043 0.6043 0.8178  3 Si 2.39-2.41, 7 Ni 2.46-2.66
5 Ni 0.8111 0.8111 0.4282  1 Si 2.31, 7 Ni 2.34-2.49

Calculated values
- total magnetization (μB/cell) = 0.0
- mass density (g/cm3) = 8.027
- SG = No. 12



Computed stability ranking, most favorable first: R, P, Q



P.
SiNi2Sn | PBE | optimized geometry

a = 8.3487 Å, b = 8.3487 Å, c = 8.3487 Å
α = 151.71°, β = 151.71°, γ = 40.43°
With the nearest neighbours (Å) after each atom.
Atoms (fractional coordinates):
1 Si 0.0000 0.0000 0.0000  4 Ni 2.33
2 Si 0.7500 0.2500 0.5000  4 Ni 2.33
3 Ni 0.0597 0.6250 0.9347  2 Si 2.33, 2 Ni 2.54, 2 Sn 2.56
4 Ni 0.3750 0.3097 0.4347  2 Si 2.33, 2 Ni 2.54, 2 Sn 2.56
5 Ni 0.6903 0.1250 0.0653  2 Si 2.33, 2 Ni 2.54, 2 Sn 2.56
6 Ni 0.8750 0.9403 0.5653  2 Si 2.33, 2 Ni 2.54, 2 Sn 2.56
7 Sn 0.2500 0.7500 0.5000  4 Ni 2.56
8 Sn 0.5000 0.5000 0.0000  4 Ni 2.56

Calculated values
- total magnetization (μB/cell) = 0.0
- mass density (g/cm3) = 6.727
- SG = No. 122



Q.
SiNi2Sn | PBE | optimized geometry

a = 4.2943 Å, b = 4.2943 Å, c = 4.2943 Å
α = 60.00°, β = 60.00°, γ = 60.00°
With the nearest neighbours (Å) after each atom.
Atoms (fractional coordinates):
1 Si 0.0000 0.0000 0.0000  8 Ni 2.63
2 Ni 0.2500 0.2500 0.2500  4 Sn 2.63, 4 Si 2.63
3 Ni 0.7500 0.7500 0.7500  4 Si 2.63, 4 Sn 2.63
4 Sn 0.5000 0.5000 0.5000  8 Ni 2.63

Calculated values
- total magnetization (μB/cell) = 0.0
- mass density (g/cm3) = 7.834
- SG = No. 225



Computed stability ranking, most favorable first: Q, P



P.
SrSiNi3 | PBE | optimized geometry

a = 5.7236 Å, b = 5.7236 Å, c = 5.7236 Å
α = 138.98°, β = 138.98°, γ = 59.41°
With the nearest neighbours (Å) after each atom.
Atoms (fractional coordinates):
1 Sr 0.0000 0.0000 0.0000  12 Ni 2.99-3.23, 4 Si 3.16
2 Si 0.6402 0.6402 0.0000  5 Ni 2.31-2.33
3 Ni 0.2553 0.7553 0.5000  2 Si 2.31, 2 Ni 2.50
4 Ni 0.4060 0.4060 0.0000  1 Si 2.33, 4 Ni 2.50
5 Ni 0.7553 0.2553 0.5000  2 Si 2.31, 2 Ni 2.50

Calculated values
- total magnetization (μB/cell) = 0.0
- mass density (g/cm3) = 6.058
- SG = No. 107



Q.
SrSiNi3 | PBE | optimized geometry

a = 4.4279 Å, b = 4.4279 Å, c = 4.4279 Å
α = 90.00°, β = 90.00°, γ = 90.00°
With the nearest neighbours (Å) after each atom.
Atoms (fractional coordinates):
1 Sr 0.0000 0.0000 0.0000  12 Ni 3.13
2 Si 0.5000 0.5000 0.5000  6 Ni 2.21
3 Ni 0.0000 0.5000 0.5000  2 Si 2.21
4 Ni 0.5000 0.0000 0.5000  2 Si 2.21
5 Ni 0.5000 0.5000 0.0000  2 Si 2.21

Calculated values
- total magnetization (μB/cell) = 0.0
- mass density (g/cm3) = 5.581
- SG = No. 221



R.
SrSiNi3 | PBE | optimized geometry

a = 4.7065 Å, b = 4.7065 Å, c = 4.7065 Å
α = 90.00°, β = 90.00°, γ = 90.00°
With the nearest neighbours (Å) after each atom.
Atoms (fractional coordinates):
1 Sr 0.0000 0.0000 0.0000  6 Ni 2.35
2 Si 0.5000 0.5000 0.5000  12 Ni 3.33
3 Ni 0.0000 0.0000 0.5000  2 Sr 2.35
4 Ni 0.0000 0.5000 0.0000  2 Sr 2.35
5 Ni 0.5000 0.0000 0.0000  2 Sr 2.35

Calculated values
- total magnetization (μB/cell) = 0.0
- mass density (g/cm3) = 4.647
- SG = No. 221



Computed stability ranking, most favorable first: P, Q, R



P.
Ta2SiNi2 | PBE | optimized geometry

a = 7.5762 Å, b = 7.5762 Å, c = 7.5762 Å
α = 155.41°, β = 155.41°, γ = 35.06°
With the nearest neighbours (Å) after each atom.
Atoms (fractional coordinates):
1 Ta 0.1087 0.1087 0.0000  4 Ni 2.60, 4 Si 2.77
2 Ta 0.8913 0.8913 0.0000  4 Ni 2.60, 4 Si 2.77
3 Si 0.5000 0.5000 0.0000  8 Ta 2.77
4 Ni 0.2500 0.7500 0.5000  4 Ni 2.28
5 Ni 0.7500 0.2500 0.5000  4 Ni 2.28

Calculated values
- total magnetization (μB/cell) = 0.0
- mass density (g/cm3) = 11.198
- SG = No. 139



Q.
Ta2SiNi2 | PBE | optimized geometry

a = 6.1273 Å, b = 6.1273 Å, c = 3.7893 Å
α = 90.00°, β = 90.00°, γ = 90.00°
With the nearest neighbours (Å) after each atom.
Atoms (fractional coordinates):
1 Ta 0.1728 0.3272 0.0000  6 Ni 2.51-2.69
2 Ta 0.3272 0.8272 0.0000  6 Ni 2.51-2.69
3 Ta 0.6728 0.1728 0.0000  6 Ni 2.51-2.69
4 Ta 0.8272 0.6728 0.0000  6 Ni 2.51-2.69
5 Si 0.0000 0.0000 0.5000  4 Ni 2.38
6 Si 0.5000 0.5000 0.5000  4 Ni 2.38
7 Ni 0.1370 0.6370 0.5000  1 Ni 2.37, 2 Si 2.38, 2 Ta 2.51
8 Ni 0.3630 0.1370 0.5000  1 Ni 2.37, 2 Si 2.38, 2 Ta 2.51
9 Ni 0.6370 0.8630 0.5000  1 Ni 2.37, 2 Si 2.38, 2 Ta 2.51
10 Ni 0.8630 0.3630 0.5000  1 Ni 2.37, 2 Si 2.38, 2 Ta 2.51

Calculated values
- total magnetization (μB/cell) = 0.0
- mass density (g/cm3) = 11.844
- SG = No. 127



Computed stability ranking, most favorable first: Q, P